DFT (GGA-PBE) results for LaBi3Cl after structural relaxation.

For the magnetic moment, the calculation gives 0.00 μB/f.u. Its density of states at the Fermi level is 1.1243 states/eV per atom. For the calculated volume, the calculation gives 47.5 Å³/atom. The energy above the lowest structure with this stoichiometry is 0.458 eV per atom. Its uncorrected formation energy is 377 meV/atom.

Unit cell a=6.1928 b=6.1928 c=6.1928 alpha=90.00 beta=90.00 gamma=90.00
Last column: nearest neighbours and their distance in Å.
Space group Pm-3m (No. 221)
Symmetry-distinct sites (fractional):
La (0.0000, 0.0000, 0.0000) [1 per cell]  6 Bi 3.10
Bi (0.0000, 0.0000, 0.5000) [3 per cell]  2 La 3.10
Cl (0.5000, 0.5000, 0.5000) [1 per cell]  12 Bi 4.38